(1)
# PBE Nd8MgSn6, optimized geometry
data_Nd8MgSn6
_space_group_name_H-M_alt 'P 1'
_space_group_IT_number 1
_space_group_name_Hall 'P 1'
_cell_length_a 9.473
_cell_length_b 9.473
_cell_length_c 8.473
_cell_angle_alpha 56.01
_cell_angle_beta 56.01
_cell_angle_gamma 60.00
loop_
_atom_site_label
_atom_site_type_symbol
_atom_site_fract_x
_atom_site_fract_y
_atom_site_fract_z
Nd1 Nd 0.614 0.199 0.291
Nd2 Nd 0.801 0.104 0.709
Nd3 Nd 0.104 0.386 0.709
Nd4 Nd 0.668 0.668 0.996
Nd5 Nd 0.332 0.332 0.004
Nd6 Nd 0.896 0.614 0.291
Nd7 Nd 0.199 0.896 0.291
Nd8 Nd 0.386 0.801 0.709
Mg1 Mg 0.000 0.000 0.000
Sn1 Sn 0.435 0.068 0.785
Sn2 Sn 0.932 0.288 0.215
Sn3 Sn 0.288 0.565 0.215
Sn4 Sn 0.712 0.435 0.785
Sn5 Sn 0.068 0.712 0.785
Sn6 Sn 0.565 0.932 0.215
# Spin magnetization in μB/cell: 0.000
# E in eV/atom: -4.797
# Energy of formation in eV per atom: -0.55
# Symmetry: No. 148



(2)
# PBE VHIr2Ru, optimized geometry
data_VHIr2Ru
_space_group_name_H-M_alt 'P 1'
_space_group_IT_number 1
_space_group_name_Hall 'P 1'
_cell_length_a 3.851
_cell_length_b 3.851
_cell_length_c 3.938
_cell_angle_alpha 90.00
_cell_angle_beta 90.00
_cell_angle_gamma 90.00
loop_
_atom_site_label
_atom_site_type_symbol
_atom_site_fract_x
_atom_site_fract_y
_atom_site_fract_z
Ru1 Ru 0.500 0.500 0.500
Ir1 Ir 0.000 0.500 0.000
Ir2 Ir 0.500 0.000 0.000
H1 H 0.000 0.000 0.000
V1 V 0.000 0.000 0.500
# Spin magnetization in μB/cell: 0.126
# Distance to the lowest polymorph of the same formula in eV per atom: 0.0205
# E in eV/atom: -8.079
# Symmetry: No. 123



(3)
# PBE SrZrCu2W, optimized geometry
data_SrZrCu2W
_space_group_name_H-M_alt 'P 1'
_space_group_IT_number 1
_space_group_name_Hall 'P 1'
_cell_length_a 4.827
_cell_length_b 5.112
_cell_length_c 4.827
_cell_angle_alpha 90.00
_cell_angle_beta 90.00
_cell_angle_gamma 90.00
loop_
_atom_site_label
_atom_site_type_symbol
_atom_site_fract_x
_atom_site_fract_y
_atom_site_fract_z
Sr1 Sr 0.000 0.500 0.000
Cu1 Cu 0.000 0.000 0.500
Cu2 Cu 0.500 0.000 0.000
Zr1 Zr 0.500 0.500 0.500
W1 W 0.000 0.000 0.000
# Spin magnetization in μB/cell: 1.512
# E in eV/atom: -4.703
# Energy of formation in eV per atom: 1.57
# Symmetry: No. 123



(4)
# PBE PmNd2InN, optimized geometry
data_PmNd2InN
_space_group_name_H-M_alt 'P 1'
_space_group_IT_number 1
_space_group_name_Hall 'P 1'
_cell_length_a 4.996
_cell_length_b 5.040
_cell_length_c 5.040
_cell_angle_alpha 90.00
_cell_angle_beta 90.00
_cell_angle_gamma 90.00
loop_
_atom_site_label
_atom_site_type_symbol
_atom_site_fract_x
_atom_site_fract_y
_atom_site_fract_z
Pm1 Pm 0.500 0.000 0.000
Nd1 Nd 0.000 0.000 0.500
Nd2 Nd 0.000 0.500 0.000
In1 In 0.500 0.500 0.500
N1 N 0.000 0.000 0.000
# Spin magnetization in μB/cell: 0.000
# Formation energy (no corrections) in meV/atom: -872
# E in eV/atom: -5.942
# Symmetry: No. 123



(5)
# PBE ThPa10Al2, optimized geometry
data_ThPa10Al2
_space_group_name_H-M_alt 'P 1'
_space_group_IT_number 1
_space_group_name_Hall 'P 1'
_cell_length_a 5.812
_cell_length_b 8.118
_cell_length_c 7.901
_cell_angle_alpha 82.44
_cell_angle_beta 68.42
_cell_angle_gamma 69.03
loop_
_atom_site_label
_atom_site_type_symbol
_atom_site_fract_x
_atom_site_fract_y
_atom_site_fract_z
Th1 Th 0.000 0.000 0.000
Pa1 Pa 0.360 0.645 0.636
Pa2 Pa 0.640 0.355 0.364
Pa3 Pa 0.004 0.355 0.636
Pa4 Pa 0.996 0.645 0.364
Pa5 Pa 0.000 0.000 0.500
Pa6 Pa 0.500 0.000 0.500
Pa7 Pa 0.294 0.209 0.204
Pa8 Pa 0.706 0.791 0.796
Pa9 Pa 0.503 0.791 0.204
Pa10 Pa 0.497 0.209 0.796
Al1 Al 0.000 0.500 0.000
Al2 Al 0.500 0.500 0.000
# Spin magnetization in μB/cell: 0.000
# E in eV/atom: -8.393
# Energy of formation in eV per atom: 0.06
# Symmetry: No. 69



(6)
# PBE Ta2ReOs2, optimized geometry
data_Ta2ReOs2
_space_group_name_H-M_alt 'P 1'
_space_group_IT_number 1
_space_group_name_Hall 'P 1'
_cell_length_a 7.415
_cell_length_b 7.415
_cell_length_c 3.021
_cell_angle_alpha 90.00
_cell_angle_beta 90.00
_cell_angle_gamma 90.00
loop_
_atom_site_label
_atom_site_type_symbol
_atom_site_fract_x
_atom_site_fract_y
_atom_site_fract_z
Re1 Re 0.000 0.000 0.000
Re2 Re 0.500 0.500 0.000
Os1 Os 0.366 0.866 0.000
Os2 Os 0.866 0.634 0.000
Os3 Os 0.634 0.134 0.000
Os4 Os 0.134 0.366 0.000
Ta1 Ta 0.167 0.667 0.500
Ta2 Ta 0.667 0.833 0.500
Ta3 Ta 0.833 0.333 0.500
Ta4 Ta 0.333 0.167 0.500
# Spin magnetization in μB/cell: 0.000
# E in eV/atom: -11.578
# Energy of formation in eV per atom: 0.14
# Symmetry: No. 127



(7)
# PBE K2CuNi, optimized geometry
data_K2CuNi
_space_group_name_H-M_alt 'P 1'
_space_group_IT_number 1
_space_group_name_Hall 'P 1'
_cell_length_a 5.950
_cell_length_b 5.950
_cell_length_c 5.950
_cell_angle_alpha 137.65
_cell_angle_beta 124.01
_cell_angle_gamma 72.63
loop_
_atom_site_label
_atom_site_type_symbol
_atom_site_fract_x
_atom_site_fract_y
_atom_site_fract_z
Cu1 Cu 0.668 0.168 0.500
K1 K 0.969 0.969 0.000
K2 K 0.278 0.778 0.500
Ni1 Ni 0.586 0.586 0.000
# Spin magnetization in μB/cell: 0.000
# Distance to the lowest polymorph of the same formula in eV per atom: 0.1041
# E in eV/atom: -2.538
# Energy of formation in eV per atom: 0.48
# Symmetry: No. 44



(8)
# PBE MnBeGe2, optimized geometry
data_MnBeGe2
_space_group_name_H-M_alt 'P 1'
_space_group_IT_number 1
_space_group_name_Hall 'P 1'
_cell_length_a 2.901
_cell_length_b 2.901
_cell_length_c 8.207
_cell_angle_alpha 79.82
_cell_angle_beta 79.82
_cell_angle_gamma 60.00
loop_
_atom_site_label
_atom_site_type_symbol
_atom_site_fract_x
_atom_site_fract_y
_atom_site_fract_z
Be1 Be 0.000 0.000 0.000
Ge1 Ge 0.092 0.092 0.723
Ge2 Ge 0.908 0.908 0.277
Mn1 Mn 0.500 0.500 0.500
# Spin magnetization in μB/cell: 0.980
# E in eV/atom: -5.240
# Energy of formation in eV per atom: 0.29
# Symmetry: No. 166



Density? In order: 6.24, 15.28, 6.83, 7.36, 13.32, 18.57, 2.89, 5.93 Mg/m³.